Entry 1:
The following is a PBE-GGA calculation of a relaxed KZrRe2 crystal, from the Alexandria database.

Results
Symmetry   Cmmm
ΔH_f (0 K)   1180 meV per atom
Total energy   -7.46 eV/atom
ΔE to the lowest computed polymorph   60.43 kJ per mole of atoms

```
KZrRe2
1.0
5.867 -0.013 0.000
-3.235 4.895 0.000
0.000 0.000 2.643
K Re Zr
1 2 1
Cartesian
-1.617 2.447 1.321
0.000 0.000 0.000
1.316 2.441 0.000
2.934 -0.006 1.321
```

Entry 2:
The following is a PBE-GGA calculation of a relaxed KZrRe2 crystal, from the Alexandria database.

Results
Symmetry   C2/m
ΔH_f (0 K)   1170 meV per atom
Total energy   -7.47 eV/atom
ΔE to the lowest computed polymorph   59.41 kJ per mole of atoms

```
KZrRe2
1.0
5.617 -0.007 -0.029
-2.437 5.295 0.022
0.744 0.638 2.525
K Re Zr
1 2 1
Cartesian
1.590 2.644 -0.004
0.000 0.000 0.000
3.181 0.315 1.248
-0.846 2.966 1.273
```